[1]
Density functional theory data (GGA-PBEsol) for an optimized crystal structure of Sc5Ir.

POSCAR file:
```
Sc5Ir
1.0
3.320 0.000 0.000
-1.660 5.490 -0.006
0.000 -2.756 6.962
Sc Ir
5 1
direct
0.139 0.278 0.365 Sc
0.836 0.672 0.208 Sc
0.500 0.000 0.000 Sc
0.164 0.328 0.792 Sc
0.861 0.722 0.635 Sc
0.500 0.000 0.500 Ir
```

Values from the calculation:
* energy of formation: -2.112 eV/f.u.
* SG: No. 12

[2]
Density functional theory data (GGA-PBEsol) for an optimized crystal structure of Sc3Ir.

POSCAR file:
```
Sc3Ir
1.0
-2.459 -1.972 -1.149
2.503 -0.825 -3.942
2.086 -2.482 4.696
Sc Ir
3 1
direct
0.708 0.208 0.417 Sc
0.500 0.500 0.000 Sc
0.292 0.792 0.583 Sc
0.000 0.000 0.000 Ir
```

Values from the calculation:
* energy of formation: -2.253 eV/f.u.
* SG: No. 71

[3]
Density functional theory data (GGA-PBEsol) for an optimized crystal structure of ScIr2Se.

POSCAR file:
```
ScIr2Se
1.0
-0.373 -3.895 2.204
3.575 -1.757 2.075
0.183 -0.068 4.487
Ir Sc Se
2 1 1
direct
0.000 0.000 0.000 Ir
0.250 0.250 0.250 Ir
0.500 0.500 0.500 Sc
0.750 0.750 0.750 Se
```

Values from the calculation:
* SG: No. 216
* raw formation energy: -0.03 eV/atom

[4]
Density functional theory data (GGA-PBEsol) for an optimized crystal structure of Sc2IrSe.

POSCAR file:
```
Sc2IrSe
1.0
3.773 0.000 0.000
0.000 3.773 0.000
0.000 0.000 5.458
Ir Sc Se
1 2 1
direct
0.500 0.500 0.870 Ir
0.000 0.000 0.901 Sc
0.500 0.500 0.325 Sc
0.000 0.000 0.404 Se
```

Values from the calculation:
* SG: No. 99
* raw formation energy: -1.01 eV/atom

[5]
Density functional theory data (GGA-PBEsol) for an optimized crystal structure of ScIr2Se.

POSCAR file:
```
ScIr2Se
1.0
-1.490 0.783 2.397
0.472 -4.184 1.660
4.514 2.975 0.045
Ir Sc Se
2 1 1
direct
0.769 0.769 0.539 Ir
0.231 0.231 0.461 Ir
0.000 0.500 0.000 Sc
0.500 0.000 0.000 Se
```

Values from the calculation:
* SG: No. 71
* raw formation energy: -0.45 eV/atom

[6]
Density functional theory data (GGA-PBEsol) for an optimized crystal structure of ScIrSe.

POSCAR file:
```
ScIrSe
1.0
3.252 0.000 0.000
0.000 4.231 0.000
0.000 -2.115 3.664
Ir Sc Se
1 1 1
direct
0.164 0.000 0.000 Ir
0.667 0.333 0.667 Sc
0.169 0.667 0.333 Se
```

Values from the calculation:
* SG: No. 156
* raw formation energy: -0.83 eV/atom

[7]
Density functional theory data (GGA-PBEsol) for an optimized crystal structure of Sc2IrSe.

POSCAR file:
```
Sc2IrSe
1.0
3.164 -0.036 -0.036
0.052 4.708 -0.002
0.052 -0.001 4.708
Ir Sc Se
1 2 1
direct
0.500 0.500 0.500 Ir
0.000 0.000 0.500 Sc
0.000 0.500 0.000 Sc
0.500 0.000 0.000 Se
```

Values from the calculation:
* SG: No. 123
* raw formation energy: -0.99 eV/atom

[8]
Density functional theory data (GGA-PBEsol) for an optimized crystal structure of ScSi2Ir.

POSCAR file:
```
ScSi2Ir
1.0
-2.245 -0.648 1.903
-0.526 -3.603 -1.848
3.275 -2.094 3.149
Ir Sc Si
1 1 2
direct
0.500 0.500 0.500 Ir
0.000 0.500 0.000 Sc
0.500 0.000 0.756 Si
0.500 0.000 0.244 Si
```

Values from the calculation:
* SG: No. 47
* raw formation energy: -0.75 eV/atom

[9]
Density functional theory data (GGA-PBEsol) for an optimized crystal structure of Sc4Si6Ir7.

POSCAR file:
```
Sc4Si6Ir7
1.0
-3.364 0.914 -5.969
4.871 -4.836 -0.817
-4.463 -2.026 4.874
Sc Si Ir
4 6 7
direct
0.000 0.500 0.000 Sc
0.000 0.000 0.500 Sc
0.500 0.500 0.500 Sc
0.500 0.000 0.000 Sc
0.316 0.316 0.000 Si
0.684 0.000 0.684 Si
0.000 0.316 0.316 Si
0.684 0.684 0.000 Si
0.316 0.000 0.316 Si
0.000 0.684 0.684 Si
0.250 0.750 0.500 Ir
0.250 0.500 0.750 Ir
0.500 0.250 0.750 Ir
0.750 0.500 0.250 Ir
0.750 0.250 0.500 Ir
0.500 0.750 0.250 Ir
0.000 0.000 0.000 Ir
```

Values from the calculation:
* SG: No. 229
* raw formation energy: -1.10 eV/atom

[10]
Density functional theory data (GGA-PBEsol) for an optimized crystal structure of Sc3Si3Ir.

POSCAR file:
```
Sc3Si3Ir
1.0
4.004 0.000 0.000
0.000 10.109 0.000
0.000 0.000 11.528
Sc Si Ir
12 12 4
direct
0.250 0.877 0.020 Sc
0.250 0.623 0.520 Sc
0.750 0.123 0.980 Sc
0.750 0.377 0.480 Sc
0.250 0.920 0.602 Sc
0.250 0.580 0.102 Sc
0.750 0.080 0.398 Sc
0.750 0.420 0.898 Sc
0.250 0.658 0.800 Sc
0.250 0.842 0.300 Sc
0.750 0.342 0.200 Sc
0.750 0.158 0.700 Sc
0.250 0.014 0.822 Si
0.250 0.486 0.322 Si
0.750 0.986 0.178 Si
0.750 0.514 0.678 Si
0.250 0.250 0.842 Si
0.250 0.250 0.342 Si
0.750 0.750 0.158 Si
0.750 0.750 0.658 Si
0.250 0.193 0.546 Si
0.250 0.307 0.046 Si
0.750 0.807 0.454 Si
0.750 0.693 0.954 Si
0.250 0.389 0.676 Ir
0.250 0.111 0.176 Ir
0.750 0.611 0.324 Ir
0.750 0.889 0.824 Ir
```

Values from the calculation:
* SG: No. 62
* raw formation energy: -1.04 eV/atom